[1]
This record from the Alexandria database describes a geometry-optimized ZnCoRuAu2 structure. The functional is PBE-GGA.

Computed properties:
E: -3.6348 eV/atom
Crystal system: tetragonal
Energy relative to the elements: 1.21 eV/atom

Cell: 5.088 5.088 4.353 Å, 90.00 90.00 90.00°
Space group P4/mmm (No. 123)
Unique sites:
Zn: 0.000 0.000 0.000 x1
Co: 0.500 0.500 0.000 x1
Ru: 0.500 0.500 0.500 x1
Au: 0.000 0.500 0.500 x2

[2]
This record from the Alexandria database describes a geometry-optimized ScFe6Ge6 structure. The functional is PBE-GGA.

Computed properties:
E: -6.8014 eV/atom
Crystal system: orthorhombic
Energy relative to the elements: -0.28 eV/atom

Cell: 5.068 8.079 8.763 Å, 90.00 90.00 90.00°
Space group Immm (No. 71)
Unique sites:
Sc: 0.000 0.000 0.000 x2
Fe: 0.000 0.248 0.500 x4
Fe: 0.250 0.250 0.250 x8
Ge: 0.000 0.000 0.333 x4
Ge: 0.000 0.343 0.000 x4
Ge: 0.000 0.500 0.336 x4

[3]
This record from the Alexandria database describes a geometry-optimized HRh2Au structure. The functional is PBE-GGA.

Computed properties:
E: -4.5928 eV/atom
Crystal system: cubic

Cell: 6.052 6.052 6.052 Å, 90.00 90.00 90.00°
Space group Fm-3m (No. 225)
Unique sites:
H: 0.000 0.000 0.000 x4
Rh: 0.250 0.250 0.250 x8
Au: 0.000 0.000 0.500 x4

[4]
This record from the Alexandria database describes a geometry-optimized CdCoAg2 structure. The functional is PBE-GGA.

Computed properties:
E: -3.1517 eV/atom
Crystal system: orthorhombic
Energy relative to the elements: 0.28 eV/atom

Cell: 2.942 4.773 9.681 Å, 90.00 90.00 90.00°
Space group Immm (No. 71)
Unique sites:
Cd: 0.000 0.000 0.000 x2
Co: 0.000 0.000 0.500 x2
Ag: 0.000 0.500 0.233 x4

[5]
This record from the Alexandria database describes a geometry-optimized DyEr4Si4 structure. The functional is PBE-GGA.

Computed properties:
E: -5.4261 eV/atom
Crystal system: tetragonal

Cell: 8.961 8.961 5.698 Å, 90.00 90.00 90.00°
Space group P4_2/n (No. 86, origin choice 2)
Unique sites:
Dy: 0.250 0.250 0.250 x2
Er: 0.084 0.653 0.127 x8
Si: 0.028 0.609 0.627 x8

[6]
This record from the Alexandria database describes a geometry-optimized SrMgCo structure. The functional is PBE-GGA.

Computed properties:
E: -2.9688 eV/atom
Crystal system: cubic
Energy relative to the elements: 0.49 eV/atom

Cell: 6.828 6.828 6.828 Å, 90.00 90.00 90.00°
Space group F-43m (No. 216)
Unique sites:
Sr: 0.000 0.000 0.000 x4
Mg: 0.000 0.000 0.500 x4
Co: 0.250 0.250 0.750 x4

> E of number 1 (ZnCoRuAu2)?

-3.6348 eV/atom